Version P
Compound: RbCa2Tl2
Source: the Alexandria database
Functional: PBE
Structure: relaxed

Lattice parameters (Å, degrees): 5.9310 5.9310 12.4135 90.00 90.00 90.00
Closest atoms and distances in Å follow each position.
Space group I4/mmm (No. 139)
Inequivalent atoms, fractional coordinates:
Rb: 0.0000 0.0000 0.0000 [2 per cell]  10 Ca 4.27-4.62, 8 Tl 4.29
Ca: 0.0000 0.0000 0.3440 [4 per cell]  4 Tl 3.19
Tl: 0.0000 0.5000 0.2500 [4 per cell]  4 Ca 3.19

***

Version Q
Compound: RbCa2Tl2
Source: the Alexandria database
Functional: PBE
Structure: relaxed

Lattice parameters (Å, degrees): 9.5437 9.5437 3.9705 90.00 90.00 90.00
Closest atoms and distances in Å follow each position.
Space group P4/mbm (No. 127)
Inequivalent atoms, fractional coordinates:
Rb: 0.0000 0.0000 0.0000 [2 per cell]  4 Tl 3.73, 2 Rb 3.97, 8 Ca 4.11
Ca: 0.1569 0.3431 0.5000 [4 per cell]  6 Tl 3.41-3.46
Tl: 0.1329 0.6329 0.0000 [4 per cell]  6 Ca 3.41-3.46, 1 Tl 3.59, 2 Rb 3.73

***

Relative energies with respect to the most stable structure, expressed in eV/atom: version P 0.172; version Q 0.000.

***

Version P
Compound: RbCa2Tl2
Source: the Alexandria database
Functional: PBE
Structure: relaxed

Lattice parameters (Å, degrees): 9.6632 9.6632 3.7293 90.00 90.00 90.00
Closest atoms and distances in Å follow each position.
Space group P4/mbm (No. 127)
Inequivalent atoms, fractional coordinates:
Rb: 0.0000 0.0000 0.0000 [2 per cell]  2 Rb 3.73, 4 Ca 3.76, 8 Tl 4.08
Ca: 0.1345 0.3655 0.0000 [4 per cell]  6 Tl 3.37-3.41, 3 Ca 3.68-3.73, 2 Rb 3.76
Tl: 0.1597 0.6597 0.5000 [4 per cell]  6 Ca 3.37-3.41, 2 Tl 3.73

***

Version Q
Compound: RbCa2Tl2
Source: the Alexandria database
Functional: PBE
Structure: relaxed

Lattice parameters (Å, degrees): 5.7335 5.7335 12.1385 90.00 90.00 90.00
Closest atoms and distances in Å follow each position.
Space group I4/mmm (No. 139)
Inequivalent atoms, fractional coordinates:
Rb: 0.0000 0.0000 0.0000 [2 per cell]  8 Ca 4.17, 10 Tl 4.30-4.64
Ca: 0.0000 0.5000 0.2500 [4 per cell]  4 Tl 3.28
Tl: 0.0000 0.0000 0.3819 [4 per cell]  1 Tl 2.87

***

Relative energies with respect to the most stable structure, expressed in eV/atom: version P 0.000; version Q 0.080.

***

Version P
Compound: RbCaV2
Source: the Alexandria database
Functional: PBE
Structure: relaxed

Lattice parameters (Å, degrees): 7.9799 7.9799 7.9799 90.00 90.00 90.00
Closest atoms and distances in Å follow each position.
Space group Fm-3m (No. 225)
Inequivalent atoms, fractional coordinates:
Rb: 0.0000 0.0000 0.0000 [4 per cell]  8 V 3.46
Ca: 0.0000 0.0000 0.5000 [4 per cell]  8 V 3.46
V: 0.2500 0.2500 0.2500 [8 per cell]  4 Ca 3.46, 4 Rb 3.46

***

Version Q
Compound: RbCaV2
Source: the Alexandria database
Functional: PBE
Structure: relaxed

Lattice parameters (Å, degrees): 9.1222 9.1222 6.3960 90.00 90.00 90.00
Closest atoms and distances in Å follow each position.
Space group I-42d (No. 122)
Inequivalent atoms, fractional coordinates:
Rb: 0.0000 0.0000 0.0000 [4 per cell]  2 Ca 3.20, 4 V 3.43
Ca: 0.0000 0.0000 0.5000 [4 per cell]  2 Rb 3.20, 4 V 3.22
V: 0.2335 0.7500 0.6250 [8 per cell]  2 V 3.21, 2 Ca 3.22, 2 Rb 3.43

***

Relative energies with respect to the most stable structure, expressed in eV/atom: version P 0.000; version Q 0.132.

***

Version P
Compound: RbCa3V
Source: the Alexandria database
Functional: PBE
Structure: relaxed

Lattice parameters (Å, degrees): 6.1344 6.1344 6.1344 90.00 90.00 90.00
Closest atoms and distances in Å follow each position.
Space group Pm-3m (No. 221)
Inequivalent atoms, fractional coordinates:
Rb: 0.0000 0.0000 0.0000 [1 per cell]  12 Ca 4.34
Ca: 0.0000 0.5000 0.5000 [3 per cell]  2 V 3.07
V: 0.5000 0.5000 0.5000 [1 per cell]  6 Ca 3.07

***

Version Q
Compound: RbCa3V
Source: the Alexandria database
Functional: PBE
Structure: relaxed

Lattice parameters (Å, degrees): 5.8881 5.8881 5.8881 90.00 90.00 90.00
Closest atoms and distances in Å follow each position.
Space group Pm-3m (No. 221)
Inequivalent atoms, fractional coordinates:
Rb: 0.0000 0.0000 0.0000 [1 per cell]  6 Ca 2.94
Ca: 0.0000 0.0000 0.5000 [3 per cell]  2 Rb 2.94
V: 0.5000 0.5000 0.5000 [1 per cell]  12 Ca 4.16

***

Relative energies with respect to the most stable structure, expressed in eV/atom: version P 0.000; version Q 1.023.

***

Version P
Compound: RbCaW2
Source: the Alexandria database
Functional: PBE
Structure: relaxed

Lattice parameters (Å, degrees): 8.8952 8.8952 5.3559 90.00 90.00 90.00
Closest atoms and distances in Å follow each position.
Space group I-42d (No. 122)
Inequivalent atoms, fractional coordinates:
Rb: 0.0000 0.0000 0.0000 [4 per cell]  2 Ca 2.68
Ca: 0.0000 0.0000 0.5000 [4 per cell]  2 Rb 2.68
W: 0.2406 0.2500 0.6250 [8 per cell]  2 W 2.68

***

Version Q
Compound: RbCaW2
Source: the Alexandria database
Functional: PBE
Structure: relaxed

Lattice parameters (Å, degrees): 7.4700 7.4700 7.4700 90.00 90.00 90.00
Closest atoms and distances in Å follow each position.
Space group Fm-3m (No. 225)
Inequivalent atoms, fractional coordinates:
Rb: 0.0000 0.0000 0.0000 [4 per cell]  8 W 3.23
Ca: 0.0000 0.0000 0.5000 [4 per cell]  8 W 3.23
W: 0.2500 0.2500 0.2500 [8 per cell]  4 Rb 3.23, 4 Ca 3.23

***

Relative energies with respect to the most stable structure, expressed in eV/atom: version P 0.000; version Q 0.258.

***

Version P
Compound: Rb2Ca2W
Source: the Alexandria database
Functional: PBE
Structure: relaxed

Lattice parameters (Å, degrees): 4.4866 4.4866 21.1523 90.00 90.00 90.00
Closest atoms and distances in Å follow each position.
Space group I4/mmm (No. 139)
Inequivalent atoms, fractional coordinates:
Rb: 0.0000 0.5000 0.2500 [4 per cell]  4 Rb 3.17
Ca: 0.0000 0.0000 0.0761 [4 per cell]  1 Ca 3.22, 4 W 3.56
W: 0.0000 0.0000 0.5000 [2 per cell]  8 Ca 3.56

***

Version Q
Compound: Rb2Ca2W
Source: the Alexandria database
Functional: PBE
Structure: relaxed

Lattice parameters (Å, degrees): 8.1609 8.1609 7.2018 90.00 90.00 90.00
Closest atoms and distances in Å follow each position.
Space group P4/mbm (No. 127)
Inequivalent atoms, fractional coordinates:
Rb: 0.1865 0.3135 0.0000 [4 per cell]  2 Ca 3.97, 5 Rb 4.21-4.30
Ca: 0.1689 0.6689 0.5000 [4 per cell]  2 W 3.03
W: 0.0000 0.0000 0.5000 [2 per cell]  4 Ca 3.03

***

Relative energies with respect to the most stable structure, expressed in eV/atom: version P 0.343; version Q 0.000.

***

Version P
Compound: RbCa2Y
Source: the Alexandria database
Functional: PBE
Structure: relaxed

Lattice parameters (Å, degrees): 9.7082 9.7082 7.5098 90.00 90.00 90.00
Closest atoms and distances in Å follow each position.
Space group I-42d (No. 122)
Inequivalent atoms, fractional coordinates:
Rb: 0.0000 0.0000 0.0000 [4 per cell]  4 Ca 3.57, 2 Y 3.75
Ca: 0.2482 0.2500 0.6250 [8 per cell]  2 Y 3.55, 2 Rb 3.57, 2 Ca 3.76
Y: 0.0000 0.0000 0.5000 [4 per cell]  4 Ca 3.55, 2 Rb 3.75

***

Version Q
Compound: RbCa2Y
Source: the Alexandria database
Functional: PBE
Structure: relaxed

Lattice parameters (Å, degrees): 8.9406 8.9406 8.9406 90.00 90.00 90.00
Closest atoms and distances in Å follow each position.
Space group Fm-3m (No. 225)
Inequivalent atoms, fractional coordinates:
Rb: 0.0000 0.0000 0.0000 [4 per cell]  8 Ca 3.87
Ca: 0.2500 0.2500 0.2500 [8 per cell]  4 Y 3.87, 4 Rb 3.87
Y: 0.0000 0.0000 0.5000 [4 per cell]  8 Ca 3.87

***

Relative energies with respect to the most stable structure, expressed in eV/atom: version P 0.206; version Q 0.000.

***

Version P
Compound: RbCa2Zn2
Source: the Alexandria database
Functional: PBE
Structure: relaxed

Lattice parameters (Å, degrees): 5.7179 5.7179 12.1146 90.00 90.00 90.00
Closest atoms and distances in Å follow each position.
Space group I4/mmm (No. 139)
Inequivalent atoms, fractional coordinates:
Rb: 0.0000 0.0000 0.0000 [2 per cell]  10 Ca 4.09-4.50, 8 Zn 4.16
Ca: 0.0000 0.0000 0.3375 [4 per cell]  4 Zn 3.05
Zn: 0.0000 0.5000 0.2500 [4 per cell]  4 Ca 3.05

***

Version Q
Compound: RbCa2Zn2
Source: the Alexandria database
Functional: PBE
Structure: relaxed

Lattice parameters (Å, degrees): 5.3088 5.3088 12.5373 90.00 90.00 90.00
Closest atoms and distances in Å follow each position.
Space group I4/mmm (No. 139)
Inequivalent atoms, fractional coordinates:
Rb: 0.0000 0.0000 0.0000 [2 per cell]  8 Zn 3.97, 8 Ca 4.11
Ca: 0.0000 0.5000 0.2500 [4 per cell]  4 Zn 3.23
Zn: 0.0000 0.0000 0.3967 [4 per cell]  1 Zn 2.59

***

Relative energies with respect to the most stable structure, expressed in eV/atom: version P 0.096; version Q 0.000.

***

Version P
Compound: RbCa2Zn2
Source: the Alexandria database
Functional: PBE
Structure: relaxed

Lattice parameters (Å, degrees): 9.3561 9.3561 3.6310 90.00 90.00 90.00
Closest atoms and distances in Å follow each position.
Space group P4/mbm (No. 127)
Inequivalent atoms, fractional coordinates:
Rb: 0.0000 0.0000 0.0000 [2 per cell]  2 Rb 3.63, 4 Ca 3.66, 8 Zn 3.96
Ca: 0.1314 0.3686 0.0000 [4 per cell]  6 Zn 3.28-3.31, 3 Ca 3.48-3.63, 2 Rb 3.66
Zn: 0.1595 0.6595 0.5000 [4 per cell]  6 Ca 3.28-3.31, 2 Zn 3.63

***

Version Q
Compound: RbCa2Zn2
Source: the Alexandria database
Functional: PBE
Structure: relaxed

Lattice parameters (Å, degrees): 8.9248 8.9248 4.1051 90.00 90.00 90.00
Closest atoms and distances in Å follow each position.
Space group P4/mbm (No. 127)
Inequivalent atoms, fractional coordinates:
Rb: 0.0000 0.0000 0.0000 [2 per cell]  4 Zn 3.59, 8 Ca 3.94
Ca: 0.1565 0.3435 0.5000 [4 per cell]  6 Zn 3.20-3.54
Zn: 0.1148 0.6148 0.0000 [4 per cell]  1 Zn 2.90, 4 Ca 3.20

***

Relative energies with respect to the most stable structure, expressed in eV/atom: version P 0.020; version Q 0.000.

***

Version P
Compound: Ca3Re
Source: the Alexandria database
Functional: PBE
Structure: relaxed

Lattice parameters (Å, degrees): 3.4160 3.4160 10.2608 90.00 90.00 90.00
Closest atoms and distances in Å follow each position.
Space group P4/mmm (No. 123)
Inequivalent atoms, fractional coordinates:
Ca: 0.0000 0.0000 0.0000 [1 per cell]  4 Ca 3.42
Ca: 0.5000 0.5000 0.3183 [2 per cell]  4 Re 3.05, 4 Ca 3.42
Re: 0.0000 0.0000 0.5000 [1 per cell]  8 Ca 3.05, 4 Re 3.42

***

Version Q
Compound: Ca3Re
Source: the Alexandria database
Functional: PBE
Structure: relaxed

Lattice parameters (Å, degrees): 3.1065 5.1597 6.5303 90.00 90.00 90.00
Closest atoms and distances in Å follow each position.
Space group Pmm2 (No. 25)
Inequivalent atoms, fractional coordinates:
Ca: 0.0000 0.0000 0.0000 [1 per cell]  6 Ca 3.11-3.23, 4 Re 3.22
Ca: 0.0000 0.5000 0.2780 [1 per cell]  4 Ca 3.11-3.15, 2 Re 3.35
Ca: 0.5000 0.0000 0.5662 [1 per cell]  2 Re 3.08, 4 Ca 3.11-3.23
Re: 0.5000 0.5000 0.8243 [1 per cell]  8 Ca 3.08-3.35, 2 Re 3.11

***

Relative energies with respect to the most stable structure, expressed in eV/atom: version P 0.000; version Q 0.105.

***

Version P
Compound: Ca3Re
Source: the Alexandria database
Functional: PBE
Structure: relaxed

Lattice parameters (Å, degrees): 10.6880 10.6880 3.1802 90.00 90.00 120.00
Closest atoms and distances in Å follow each position.
Space group R-3m (No. 166, hexagonal axes)
Inequivalent atoms, fractional coordinates:
Ca: 0.0000 0.5000 0.0000 [9 per cell]  6 Ca 3.18-3.26, 2 Re 3.26
Re: 0.0000 0.0000 0.0000 [3 per cell]  2 Re 3.18, 6 Ca 3.26

***

Version Q
Compound: Ca3Re
Source: the Alexandria database
Functional: PBE
Structure: relaxed

Lattice parameters (Å, degrees): 4.7381 4.7381 4.7381 90.00 90.00 90.00
Closest atoms and distances in Å follow each position.
Space group Pm-3m (No. 221)
Inequivalent atoms, fractional coordinates:
Ca: 0.0000 0.0000 0.5000 [3 per cell]  4 Re 3.35, 8 Ca 3.35
Re: 0.5000 0.5000 0.5000 [1 per cell]  12 Ca 3.35

***

Version R
Compound: Ca3Re
Source: the Alexandria database
Functional: PBE
Structure: relaxed

Lattice parameters (Å, degrees): 3.3447 5.6507 12.7018 90.00 90.00 90.00
Closest atoms and distances in Å follow each position.
Space group Immm (No. 71)
Inequivalent atoms, fractional coordinates:
Ca: 0.0000 0.0000 0.0000 [2 per cell]  4 Re 3.28, 2 Ca 3.34
Ca: 0.0000 0.5000 0.1862 [4 per cell]  2 Re 2.90
Re: 0.0000 0.0000 0.5000 [2 per cell]  4 Ca 2.90

***

Version S
Compound: Ca3Re
Source: the Alexandria database
Functional: PBE
Structure: relaxed

Lattice parameters (Å, degrees): 6.9524 12.1936 5.1876 90.00 90.00 90.00
Closest atoms and distances in Å follow each position.
Space group Cmcm (No. 63)
Inequivalent atoms, fractional coordinates:
Ca: 0.0000 0.1835 0.2500 [4 per cell]  4 Re 3.19-3.48, 6 Ca 3.20-3.41
Ca: 0.2291 0.4108 0.2500 [8 per cell]  4 Re 3.18-3.54, 6 Ca 3.19-3.41
Re: 0.0000 0.3355 0.7500 [4 per cell]  12 Ca 3.18-3.54

***

Relative energies with respect to the most stable structure, expressed in eV/atom: version P 0.191; version Q 0.103; version R 0.000; version S 0.043.

***

Version P
Compound: Ca3Re
Source: the Alexandria database
Functional: PBE
Structure: relaxed

Lattice parameters (Å, degrees): 3.4446 3.4446 33.6862 90.00 90.00 120.00
Closest atoms and distances in Å follow each position.
Space group R-3m (No. 166, hexagonal axes)
Inequivalent atoms, fractional coordinates:
Ca: 0.0000 0.0000 0.0000 [3 per cell]  6 Ca 3.44
Ca: 0.0000 0.0000 0.2326 [6 per cell]  3 Re 2.98
Re: 0.0000 0.0000 0.5000 [3 per cell]  6 Ca 2.98

***

Version Q
Compound: Ca3Re
Source: the Alexandria database
Functional: PBE
Structure: relaxed

Lattice parameters (Å, degrees): 11.5605 11.6212 3.8425 90.00 90.00 90.00
Closest atoms and distances in Å follow each position.
Space group Cmcm (No. 63)
Inequivalent atoms, fractional coordinates:
Ca: 0.0000 0.1536 0.2500 [4 per cell]  8 Ca 3.57-3.90, 2 Re 3.81
Ca: 0.2079 0.3802 0.2500 [8 per cell]  3 Re 3.15-3.21, 2 Ca 3.38
Re: 0.0000 0.4369 0.7500 [4 per cell]  2 Re 2.42

***

Relative energies with respect to the most stable structure, expressed in eV/atom: version P 0.480; version Q 0.000.